This record from Alexandria describes an optimized crystal structure of Sr2AlSnTe5. The functional is PBE.

The structure in CIF format:
```
data_Sr2AlSnTe5
_chemical_formula_sum 'Sr8 Al4 Sn4 Te20'
_space_group_name_H-M_alt 'C m c 21'
_space_group_IT_number 36
_space_group_name_Hall 'C 2c -2'
_cell_length_a 4.361
_cell_length_b 20.586
_cell_length_c 13.604
_cell_angle_alpha 90.00
_cell_angle_beta 90.00
_cell_angle_gamma 90.00
loop_
_atom_site_label
_atom_site_fract_x
_atom_site_fract_y
_atom_site_fract_z
Sr1 0.000 0.109 0.000
Sr2 0.000 0.121 0.631
Al1 0.000 0.435 0.765
Sn1 0.000 0.219 0.351
Te1 0.000 0.047 0.377
Te2 0.000 0.277 0.007
Te3 0.000 0.314 0.690
Te4 0.000 0.359 0.319
Te5 0.000 0.499 0.600
```

Uncorrected formation energy, eV per atom: -0.925
Calculated total energy, Ry per atom: -0.28702